CaCd2HgO4 (PBE, relaxed); symmetry = No. 63; density = 7.475 g cm⁻³; electronic total energy = -4.180 eV/atom; volume = 14.70 Å³/atom; formation energy without anion corrections = -1.184 eV per atom
1.0
-3.090 -1.015 -0.513
2.574 -4.409 3.780
-3.515 5.971 9.359
Ca Cd Hg O
2 4 2 8
Direct
0.198 0.396 0.750 Ca
0.802 0.604 0.250 Ca
0.371 0.742 0.508 Cd
0.629 0.258 0.008 Cd
0.629 0.258 0.492 Cd
0.371 0.742 0.992 Cd
0.937 0.873 0.750 Hg
0.063 0.127 0.250 Hg
0.223 0.446 0.119 O
0.777 0.554 0.619 O
0.777 0.554 0.881 O
0.223 0.446 0.381 O
0.000 0.000 0.500 O
0.000 0.000 0.000 O
0.563 0.126 0.750 O
0.437 0.874 0.250 O

---

Ca4Cd2HgPb (PBE, relaxed); symmetry = No. 166; density = 5.792 g cm⁻³; formation energy from the elements = -466 meV per atom; electronic total energy = -2.197 eV/atom; volume = 28.42 Å³/atom
1.0
-3.739 -3.563 -1.678
0.610 -5.287 1.080
-5.477 -1.899 7.447
Ca Cd Hg Pb
4 2 1 1
Direct
0.373 0.373 0.880 Ca
0.877 0.877 0.369 Ca
0.123 0.123 0.631 Ca
0.627 0.627 0.120 Ca
0.749 0.749 0.754 Cd
0.251 0.251 0.246 Cd
0.000 0.000 0.000 Hg
0.500 0.500 0.500 Pb

---

Ca4CdHgPb2 (PBE, relaxed); symmetry = No. 166; density = 6.328 g cm⁻³; formation energy from the elements = -556 meV per atom; electronic total energy = -2.636 eV/atom; volume = 29.12 Å³/atom
1.0
-0.699 -4.584 -2.932
2.912 -4.492 1.197
-5.660 -5.667 5.076
Ca Cd Hg Pb
4 1 1 2
Direct
0.376 0.376 0.872 Ca
0.874 0.874 0.378 Ca
0.126 0.126 0.622 Ca
0.624 0.624 0.128 Ca
0.000 0.000 0.000 Cd
0.500 0.500 0.500 Hg
0.749 0.749 0.753 Pb
0.251 0.251 0.247 Pb

---

CaCd2HgPb (PBE, relaxed); symmetry = No. 63; density = 8.314 g cm⁻³; formation energy from the elements = -231 meV per atom; electronic total energy = -1.799 eV/atom; volume = 26.87 Å³/atom
1.0
-4.368 1.368 0.092
0.589 -5.629 -2.264
-1.036 -3.950 9.552
Ca Cd Hg Pb
2 4 2 2
Direct
0.567 0.135 0.750 Ca
0.433 0.865 0.250 Ca
0.278 0.557 0.914 Cd
0.722 0.443 0.086 Cd
0.278 0.557 0.586 Cd
0.722 0.443 0.414 Cd
0.848 0.696 0.750 Hg
0.152 0.304 0.250 Hg
0.000 0.000 0.000 Pb
0.000 0.000 0.500 Pb

---

CaCd2Hg4Pb (PBE, relaxed); symmetry = No. 123; density = 9.258 g cm⁻³; formation energy from the elements = -89 meV per atom; electronic total energy = -1.182 eV/atom; volume = 28.58 Å³/atom
1.0
4.353 0.000 0.000
0.000 4.353 0.000
0.000 0.000 12.064
Ca Cd Hg Pb
1 2 4 1
Direct
0.000 0.000 0.000 Ca
0.500 0.500 0.381 Cd
0.500 0.500 0.619 Cd
0.000 0.500 0.197 Hg
0.500 0.000 0.803 Hg
0.500 0.000 0.197 Hg
0.000 0.500 0.803 Hg
0.000 0.000 0.500 Pb

---

Ca3Cd2Hg4Pb2 (PBE, relaxed); symmetry = No. 164; density = 8.251 g cm⁻³; formation energy from the elements = -314 meV per atom; electronic total energy = -1.810 eV/atom; volume = 28.57 Å³/atom
1.0
5.068 0.000 0.000
-2.534 4.389 0.000
0.000 0.000 14.133
Ca Cd Hg Pb
3 2 4 2
Direct
0.000 0.000 0.716 Ca
0.000 0.000 0.000 Ca
0.000 0.000 0.284 Ca
0.667 0.333 0.421 Cd
0.333 0.667 0.579 Cd
0.667 0.333 0.103 Hg
0.333 0.667 0.897 Hg
0.667 0.333 0.625 Hg
0.333 0.667 0.375 Hg
0.667 0.333 0.848 Pb
0.333 0.667 0.152 Pb

---

Ca4CdHg2Pb (PBE, relaxed); symmetry = No. 166; density = 6.450 g cm⁻³; formation energy from the elements = -512 meV per atom; electronic total energy = -2.166 eV/atom; volume = 28.35 Å³/atom
1.0
-1.414 -4.913 -1.808
3.402 -4.183 0.576
-2.973 -4.898 7.506
Ca Cd Hg Pb
4 1 2 1
Direct
0.375 0.375 0.874 Ca
0.875 0.875 0.375 Ca
0.125 0.125 0.625 Ca
0.625 0.625 0.126 Ca
0.000 0.000 0.000 Cd
0.746 0.746 0.763 Hg
0.254 0.254 0.237 Hg
0.500 0.500 0.500 Pb

---

Ca2CdHg2Pd5 (PBE, relaxed); symmetry = No. 127; density = 9.224 g cm⁻³; formation energy from the elements = -445 meV per atom; electronic total energy = -3.594 eV/atom; volume = 20.27 Å³/atom
1.0
4.064 0.000 0.000
0.000 9.988 0.000
0.000 0.000 9.988
Ca Cd Hg Pd
4 2 4 10
Direct
0.000 0.671 0.171 Ca
0.000 0.329 0.829 Ca
0.000 0.171 0.329 Ca
0.000 0.829 0.671 Ca
0.000 0.000 0.000 Cd
0.000 0.500 0.500 Cd
0.000 0.128 0.628 Hg
0.000 0.872 0.372 Hg
0.000 0.628 0.872 Hg
0.000 0.372 0.128 Hg
0.500 0.195 0.061 Pd
0.500 0.805 0.939 Pd
0.500 0.061 0.805 Pd
0.500 0.695 0.439 Pd
0.500 0.939 0.195 Pd
0.500 0.305 0.561 Pd
0.500 0.561 0.695 Pd
0.500 0.439 0.305 Pd
0.500 0.500 0.000 Pd
0.500 0.000 0.500 Pd

---

Ca2Cd2HgPd5 (PBE, relaxed); symmetry = No. 127; density = 8.589 g cm⁻³; formation energy from the elements = -436 meV per atom; electronic total energy = -3.646 eV/atom; volume = 20.06 Å³/atom
1.0
4.006 0.000 0.000
0.000 10.008 0.000
0.000 0.000 10.008
Ca Cd Hg Pd
4 4 2 10
Direct
0.000 0.673 0.173 Ca
0.000 0.327 0.827 Ca
0.000 0.173 0.327 Ca
0.000 0.827 0.673 Ca
0.000 0.126 0.626 Cd
0.000 0.874 0.374 Cd
0.000 0.626 0.874 Cd
0.000 0.374 0.126 Cd
0.000 0.000 0.000 Hg
0.000 0.500 0.500 Hg
0.500 0.198 0.063 Pd
0.500 0.802 0.937 Pd
0.500 0.063 0.802 Pd
0.500 0.698 0.437 Pd
0.500 0.937 0.198 Pd
0.500 0.302 0.563 Pd
0.500 0.563 0.698 Pd
0.500 0.437 0.302 Pd
0.500 0.500 0.000 Pd
0.500 0.000 0.500 Pd

---

Ca4CdHg2Pd (PBE, relaxed); symmetry = No. 166; density = 6.204 g cm⁻³; formation energy from the elements = -512 meV per atom; electronic total energy = -2.352 eV/atom; volume = 26.11 Å³/atom
1.0
-0.498 -5.196 -0.897
3.963 -2.688 -2.262
4.462 -4.285 6.708
Ca Cd Hg Pd
4 1 2 1
Direct
0.381 0.381 0.856 Ca
0.870 0.870 0.390 Ca
0.130 0.130 0.610 Ca
0.619 0.619 0.144 Ca
0.000 0.000 0.000 Cd
0.745 0.745 0.764 Hg
0.255 0.255 0.236 Hg
0.500 0.500 0.500 Pd

---

CaCdHg4Pd2 (PBE, relaxed); symmetry = No. 123; density = 9.812 g cm⁻³; formation energy from the elements = -64 meV per atom; electronic total energy = -1.878 eV/atom; volume = 24.70 Å³/atom
1.0
-1.021 -2.737 2.995
0.402 -3.141 -2.734
10.896 -1.025 2.779
Ca Cd Hg Pd
1 1 4 2
Direct
0.000 0.000 0.000 Ca
0.000 0.000 0.500 Cd
0.000 0.500 0.216 Hg
0.500 0.000 0.784 Hg
0.500 0.000 0.216 Hg
0.000 0.500 0.784 Hg
0.500 0.500 0.386 Pd
0.500 0.500 0.614 Pd

---

Ca4CdHgPd2 (PBE, relaxed); symmetry = No. 166; density = 5.751 g cm⁻³; formation energy from the elements = -521 meV per atom; electronic total energy = -2.972 eV/atom; volume = 24.76 Å³/atom
1.0
-0.760 -5.071 -0.788
3.345 -2.705 -2.900
5.448 -4.357 5.706
Ca Cd Hg Pd
4 1 1 2
Direct
0.376 0.376 0.872 Ca
0.874 0.874 0.378 Ca
0.126 0.126 0.622 Ca
0.624 0.624 0.128 Ca
0.000 0.000 0.000 Cd
0.500 0.500 0.500 Hg
0.748 0.748 0.757 Pd
0.252 0.252 0.243 Pd